The following is a PBE calculation of a relaxed structure of La2Pm5PrIn, from Alexandria via LeMat-Bulk.

Cell: 5.6226 20.2428 10.9181 Å, 90.00 90.00 90.00°
Space group Cmcm (No. 63)
Asymmetric unit:
La 0.0000 0.1176 0.0469 x8
Pm 0.0000 0.0128 0.7500 x4
Pm 0.0000 0.2901 0.0529 x8
Pm 0.0000 0.3862 0.7500 x4
Pm 0.0000 0.5000 0.0000 x4
Pr 0.0000 0.2022 0.7500 x4
In 0.0000 0.4073 0.2500 x4

Output
Total moment   0.00 μB per atom
DFT formation energy   -26 meV per atom